{"formula": "YFeSbIr", "functional": "PBE-GGA", "state": "relaxed", "energy_ev_per_atom": -6.93, "vol_a3_per_atom": 18.6, "sg": "No. 216", "polymorph_energy_mev_per_atom": 234.3, "cell": [[0.000, 3.339, 3.339], [3.339, 0.000, 3.339], [3.339, 3.339, 0.000]], "species": ["Y", "Fe", "Sb", "Ir"], "fractional_positions": [[0.000, 0.000, 0.000], [0.500, 0.500, 0.500], [0.250, 0.250, 0.250], [0.750, 0.750, 0.750]]}